Entry A
Density functional theory data (GGA-PBE) for a geometry-optimized Sr4InSi structure.

```
12
Lattice="-2.559 5.111 3.210 -7.120 -5.326 -0.534 6.041 -2.790 5.922" Properties=species:S:1:pos:R:3 pbc="T T T"
Sr -2.017 -1.152 7.042
Sr -5.125 -5.522 1.368
Sr -0.999 1.069 4.094
Sr -5.871 -1.703 1.388
Sr 2.233 -1.302 7.210
Sr -2.639 -4.074 4.504
Sr 1.487 2.517 7.230
Sr -1.621 -1.853 1.556
In -4.195 -0.559 4.249
In 0.557 -2.446 4.348
Si -7.739 -4.045 0.279
Si 4.101 1.040 8.319
```

Calculated values
**SG**: C2/c, No. 15
**M_tot**: 0.00 μB/cell

---

Entry B
Density functional theory data (GGA-PBE) for a geometry-optimized Sr4InSi structure.

```
6
Lattice="0.000 4.892 4.892 4.892 0.000 4.892 4.892 4.892 0.000" Properties=species:S:1:pos:R:3 pbc="T T T"
Sr 3.664 6.120 6.120
Sr 6.120 6.120 3.664
Sr 6.120 3.664 6.120
Sr 3.664 3.664 3.664
In 7.338 7.338 7.338
Si 0.000 0.000 0.000
```

Calculated values
**SG**: F-43m, No. 216
**M_tot**: 0.00 μB/cell

---

Among the structures above, stability is smallest for entry B.